Entry from Alexandria via LeMat-Bulk: a relaxed LiNiPb2 crystal (PBEsol).

Calculated total energy, Ry per atom: -0.276
Formation energy from the elements, eV/atom: 0.2801
N(E_F), states/eV per cell: 10.53

Unit cell a=6.9302 b=6.9302 c=6.9302 alpha=90.00 beta=90.00 gamma=90.00
With the nearest neighbours (Å) after each atom.
Fractional coordinates of all 16 atoms:
Li 0.0000 0.0000 0.0000  4 Pb 3.00, 4 Ni 3.00
Li 0.0000 0.5000 0.5000  4 Pb 3.00, 4 Ni 3.00
Li 0.5000 0.0000 0.5000  4 Pb 3.00, 4 Ni 3.00
Li 0.5000 0.5000 0.0000  4 Pb 3.00, 4 Ni 3.00
Ni 0.2500 0.2500 0.2500  4 Pb 3.00, 4 Li 3.00
Ni 0.2500 0.7500 0.7500  4 Pb 3.00, 4 Li 3.00
Ni 0.7500 0.2500 0.7500  4 Pb 3.00, 4 Li 3.00
Ni 0.7500 0.7500 0.2500  4 Pb 3.00, 4 Li 3.00
Pb 0.0000 0.0000 0.5000  4 Pb 3.00, 4 Ni 3.00
Pb 0.0000 0.5000 0.0000  4 Pb 3.00, 4 Ni 3.00
Pb 0.2500 0.2500 0.7500  4 Pb 3.00, 4 Li 3.00
Pb 0.2500 0.7500 0.2500  4 Pb 3.00, 4 Li 3.00
Pb 0.5000 0.0000 0.0000  4 Pb 3.00, 4 Ni 3.00
Pb 0.5000 0.5000 0.5000  4 Pb 3.00, 4 Ni 3.00
Pb 0.7500 0.2500 0.2500  4 Pb 3.00, 4 Li 3.00
Pb 0.7500 0.7500 0.7500  4 Pb 3.00, 4 Li 3.00